Record 1
Below is a geometry-optimized CaNiAu2S structure, with properties calculated at the PBEsol level.

## Properties
The calculated total energy is -2.72 eV/atom.

Cell: 5.0975 5.0975 4.5072 Å, 90.00 90.00 90.00°
Fractional positions:
Ca  0.0000  0.0000  0.0000
Ni  0.0000  0.0000  0.5000
Au  0.0000  0.5000  0.0000
Au  0.5000  0.0000  0.0000
S  0.5000  0.5000  0.5000

---

Record 2
Below is a geometry-optimized Ca3AuO structure, with properties calculated at the PBEsol level.

## Properties
The calculated total energy is -4.61 eV/atom.

Cell: 4.7112 4.7112 4.7112 Å, 90.00 90.00 90.00°
Fractional positions:
Ca  0.0000  0.0000  0.5000
Ca  0.0000  0.5000  0.0000
Ca  0.5000  0.0000  0.0000
Au  0.5000  0.5000  0.5000
O  0.0000  0.0000  0.0000

---

Record 3
Below is a geometry-optimized CaPAuO2 structure, with properties calculated at the PBEsol level.

## Properties
The calculated total energy is -4.24 eV/atom.

Cell: 4.0445 4.0445 6.1603 Å, 90.00 90.00 90.00°
Fractional positions:
Ca  0.0000  0.0000  0.0000
P  0.0000  0.0000  0.5000
Au  0.5000  0.5000  0.5000
O  0.0000  0.5000  0.0000
O  0.5000  0.0000  0.0000

---

Record 4
Below is a geometry-optimized CaP2AuO structure, with properties calculated at the PBEsol level.

## Properties
The calculated total energy is -3.77 eV/atom.

Cell: 5.1845 5.1845 3.9665 Å, 90.00 90.00 90.00°
Fractional positions:
Ca  0.0000  0.0000  0.0000
P  0.0000  0.5000  0.0000
P  0.5000  0.0000  0.0000
Au  0.5000  0.5000  0.5000
O  0.0000  0.0000  0.5000

---

Record 5
Below is a geometry-optimized CaOsAu2 structure, with properties calculated at the PBEsol level.

## Properties
The value obtained for the calculated formation energy is 41 kJ/mol of atoms. The calculated total energy is -5.12 eV/atom.

Cell: 9.6627 9.6627 9.6627 Å, 17.37 17.37 17.37°
Fractional positions:
Ca  0.0000  0.0000  0.0000
Os  0.2497  0.2497  0.2497
Au  0.5048  0.5048  0.5048
Au  0.7545  0.7545  0.7545

---

Record 6
Below is a geometry-optimized CaOsAu2 structure, with properties calculated at the PBEsol level.

## Properties
The value obtained for the calculated formation energy is 28 kJ/mol of atoms. The calculated total energy is -5.26 eV/atom.

Cell: 5.2098 5.2098 5.2098 Å, 134.46 134.46 66.38°
Fractional positions:
Ca  0.0000  0.0000  0.0000
Os  0.7500  0.2500  0.5000
Au  0.2500  0.7500  0.5000
Au  0.5000  0.5000  0.0000

---

Record 7
Below is a geometry-optimized Ca2PAu structure, with properties calculated at the PBEsol level.

## Properties
The value obtained for the calculated formation energy is -83 kJ/mol of atoms. The calculated total energy is -4.35 eV/atom.

Cell: 4.9390 4.9390 3.5637 Å, 90.00 90.00 90.00°
Fractional positions:
Ca  0.0000  0.5000  0.0000
Ca  0.5000  0.0000  0.0000
P  0.0000  0.0000  0.5000
Au  0.5000  0.5000  0.5000

---

Record 8
Below is a geometry-optimized Ca2PAu structure, with properties calculated at the PBEsol level.

## Properties
The value obtained for the calculated formation energy is -42 kJ/mol of atoms. The calculated total energy is -3.93 eV/atom.

Cell: 8.4444 8.4444 8.4444 Å, 137.90 137.90 61.06°
Fractional positions:
Ca  0.0905  0.6250  0.9655
Ca  0.3750  0.3405  0.4655
Ca  0.6595  0.1250  0.0345
Ca  0.8750  0.9095  0.5345
P  0.0000  0.0000  0.0000
P  0.7500  0.2500  0.5000
Au  0.2500  0.7500  0.5000
Au  0.5000  0.5000  0.0000

---

Record 9
Below is a geometry-optimized CaPAu2 structure, with properties calculated at the PBEsol level.

## Properties
The value obtained for the calculated formation energy is -44 kJ/mol of atoms. The calculated total energy is -4.40 eV/atom.

Cell: 3.3695 4.3815 5.3508 Å, 90.00 90.00 90.00°
Fractional positions:
Ca  0.0000  0.0000  0.0000
P  0.5000  0.0000  0.5000
Au  0.5000  0.5000  0.2488
Au  0.5000  0.5000  0.7512

---

Record 10
Below is a geometry-optimized CaP2Au structure, with properties calculated at the PBEsol level.

## Properties
The value obtained for the calculated formation energy is -53 kJ/mol of atoms. The calculated total energy is -4.96 eV/atom.

Cell: 4.2624 3.8844 5.0324 Å, 90.00 94.76 90.00°
Fractional positions:
Ca  0.0000  0.0000  0.0000
P  0.4068  0.5000  0.7869
P  0.5932  0.5000  0.2131
Au  0.5000  0.0000  0.5000

---

Record 11
Below is a geometry-optimized Ca2PAu structure, with properties calculated at the PBEsol level.

## Properties
The value obtained for the calculated formation energy is -90 kJ/mol of atoms. The calculated total energy is -4.42 eV/atom.

Cell: 4.2361 5.7287 5.7287 Å, 40.99 90.00 90.00°
Fractional positions:
Ca  0.0000  0.0000  0.0000
Ca  0.5000  0.2807  0.2807
P  0.5000  0.5595  0.5595
Au  0.0000  0.7151  0.7151

---

Record 12
Below is a geometry-optimized Ca2PAu structure, with properties calculated at the PBEsol level.

## Properties
The value obtained for the calculated formation energy is -82 kJ/mol of atoms. The calculated total energy is -4.34 eV/atom.

Cell: 6.8870 6.8870 6.8870 Å, 36.14 36.14 36.14°
Fractional positions:
Ca  0.2383  0.2383  0.2383
Ca  0.7617  0.7617  0.7617
P  0.5000  0.5000  0.5000
Au  0.0000  0.0000  0.0000